No. 1
Computed, not measured: a relaxed structure of K2Na4Tl9 at the PBE level of DFT.

extended XYZ file:
```
15
Lattice="-3.924 -3.161 2.223 4.308 -2.325 -2.524 9.418 -0.234 16.292" Properties=species:S:1:pos:R:3 pbc="T T T"
K 8.755 -2.782 11.499
K 1.046 -2.938 4.492
Na 5.194 -2.694 5.338
Na 4.608 -3.026 10.653
Na 6.962 -3.085 14.726
Na 2.840 -2.635 1.265
Tl 3.093 -0.077 5.350
Tl 6.325 -0.157 10.942
Tl 8.581 -0.213 14.845
Tl 0.837 -0.021 1.448
Tl 6.891 -2.736 8.274
Tl 2.910 -2.984 7.717
Tl -0.835 -2.891 1.237
Tl 10.637 -2.829 14.754
Tl 4.709 -0.117 8.146
```

Computed properties:
raw total energy	-1.978	eV/atom
DOS(E_F)	0.4305	states/eV/atom
space-group type	P-3m1
E_form	-0.060	eV per atom


No. 2
Computed, not measured: a relaxed structure of CsSn2As3 at the PBE level of DFT.

extended XYZ file:
```
12
Lattice="-6.191 -1.532 3.196 2.887 -4.883 3.251 0.613 8.120 5.079" Properties=species:S:1:pos:R:3 pbc="T T T"
Cs -3.419 2.232 6.389
Cs 0.727 -0.528 5.136
Sn -2.361 -2.009 2.426
Sn -0.943 -4.406 4.021
Sn 2.152 -3.640 2.423
Sn 0.735 -1.243 0.827
As 0.520 3.021 6.437
As -3.212 -1.317 5.089
As -2.176 -3.070 6.256
As -0.516 4.774 5.270
As -1.216 0.532 1.879
As -1.475 1.172 9.646
```

Computed properties:
raw total energy	-4.034	eV/atom
DOS(E_F)	0.0439	states/eV/atom
space-group type	Cmcm
E_form	-0.232	eV per atom


No. 3
Computed, not measured: a relaxed structure of DySi2Ir2 at the PBE level of DFT.

extended XYZ file:
```
10
Lattice="-0.336 -2.685 -3.122 3.761 1.074 -1.329 3.994 -7.033 5.618" Properties=species:S:1:pos:R:3 pbc="T T T"
Si 4.734 -3.382 1.031
Si 2.685 -5.261 0.135
Si 3.093 -2.131 -2.601
Si 4.326 -6.513 3.768
Ir 4.053 -3.821 -1.251
Ir 3.366 -4.822 2.418
Ir 2.737 0.135 -1.777
Ir 0.688 -1.745 -2.674
Dy 1.874 -2.195 0.319
Dy 5.545 -6.448 0.847
```

Computed properties:
raw total energy	-7.695	eV/atom
DOS(E_F)	0.4480	states/eV/atom
space-group type	P4/nmm
ΔE_f (raw)	-1.061	eV per atom


No. 4
Computed, not measured: a relaxed structure of CuTeSeBr at the PBE level of DFT.

extended XYZ file:
```
4
Lattice="-0.739 2.395 -2.925 2.136 -1.551 -4.346 -7.373 -1.479 -1.884" Properties=species:S:1:pos:R:3 pbc="T T T"
Cu -2.841 -0.697 -7.460
Te -6.322 -1.020 -4.309
Se -5.149 -0.609 -6.806
Br -1.183 -1.284 -5.824
```

Computed properties:
raw total energy	-3.178	eV/atom
DOS(E_F)	0.4822	states/eV/atom
space-group type	Cm
ΔE_f (raw)	-0.079	eV per atom


No. 5
Computed, not measured: a relaxed structure of ReSO2 at the PBE level of DFT.

extended XYZ file:
```
4
Lattice="-2.787 -2.701 5.721 -0.100 -2.428 6.473 -1.838 -0.236 6.661" Properties=species:S:1:pos:R:3 pbc="T T T"
Re -2.362 -2.683 9.427
S 0.000 0.000 0.000
O -4.255 -4.833 16.981
O -0.469 -0.533 1.873
```

Computed properties:
raw total energy	-6.917	eV/atom
DOS(E_F)	0.4456	states/eV/atom
space-group type	R-3m
ΔE_f (raw)	-0.294	eV per atom


No. 6
Computed, not measured: a relaxed structure of AlHgGe2 at the PBE level of DFT.

extended XYZ file:
```
8
Lattice="-4.754 0.996 -1.415 1.007 -1.774 -4.630 -3.987 -7.341 -0.819" Properties=species:S:1:pos:R:3 pbc="T T T"
Ge -3.686 -1.467 -1.621
Ge -1.118 -2.787 -3.322
Ge -4.362 -5.856 -3.033
Ge -6.302 -6.128 -5.751
Hg 0.000 0.000 0.000
Hg -5.307 -3.367 -2.628
Al -1.874 -0.389 -3.023
Al -2.427 -4.752 -4.236
```

Computed properties:
raw total energy	-3.015	eV/atom
DOS(E_F)	0.4212	states/eV/atom
space-group type	I-42d
E_form	0.304	eV per atom